No. 1
Compound: HfTiW3
Source: Alexandria
Functional: PBEsol
Structure: relaxed

Output
ΔE_f: 2.402 eV per atom
Density: 12.48 g cm⁻³

Cell lengths 4.6952, 4.6952, 4.6952 Å; angles 90.00, 90.00, 90.00 degrees
With the nearest neighbours (Å) after each atom.
Space group Pm-3m (No. 221)
Unique sites:
Hf 0.0000 0.0000 0.0000  6 W 2.35
Ti 0.5000 0.5000 0.5000  12 W 3.32
W 0.0000 0.0000 0.5000  2 Hf 2.35

=====

No. 2
Compound: MoHNO2
Source: Alexandria
Functional: PBEsol
Structure: relaxed

Output
E: -32.17 eV per cell
Density: 6.75 g cm⁻³

Cell lengths 3.6612, 3.6612, 2.6224 Å; angles 90.00, 90.00, 90.00 degrees
With the nearest neighbours (Å) after each atom.
Space group P4/mmm (No. 123)
Unique sites:
Mo 0.0000 0.0000 0.0000  8 O 2.25
H 0.5000 0.5000 0.5000  2 N 1.31
N 0.5000 0.5000 0.0000  2 H 1.31
O 0.0000 0.5000 0.5000  2 H 1.83

=====

no.,magnetic moment (Bohr magnetons per cell)
1,1.10
2,0.00